Entry 1:
YCuP2 | Alexandria | PBE | relaxed; symmetry = Immm; mass density = 4.91 g/cm3; V = 72.5 Å³/cell; energy of formation from the pure elements = -214 kJ/mol of formula units
1.0
4.703 -0.013 -0.008
-0.496 4.677 0.008
-1.221 -3.128 3.293
P Cu Y
2 1 1
direct
0.437 0.437 0.000 P
0.063 0.063 0.000 P
0.250 0.750 0.500 Cu
0.750 0.250 0.500 Y



Entry 2:
MgBiSbO6 | Alexandria | PBE | relaxed; E_form (uncorrected) = -1238.1 kJ/mol of formula units; symmetry = P-31c; mass density = 6.49 g/cm3; V = 230.7 Å³/cell
1.0
-5.070 0.212 -1.789
1.604 -4.125 3.060
-2.470 4.641 7.552
O Mg Bi Sb
12 2 2 2
direct
0.645 0.663 0.629 O
0.337 0.355 0.871 O
0.018 0.355 0.629 O
0.355 0.018 0.129 O
0.663 0.645 0.129 O
0.982 0.337 0.129 O
0.355 0.337 0.371 O
0.645 0.982 0.871 O
0.018 0.663 0.871 O
0.982 0.645 0.371 O
0.337 0.982 0.629 O
0.663 0.018 0.371 O
0.000 0.000 0.500 Mg
0.000 0.000 0.000 Mg
0.333 0.667 0.250 Bi
0.667 0.333 0.750 Bi
0.667 0.333 0.250 Sb
0.333 0.667 0.750 Sb



Entry 3:
Ac6La5Sm2 | Alexandria | PBE | relaxed; symmetry = Pbam; mass density = 7.38 g/cm3; V = 1060.9 Å³/cell; energy of formation from the pure elements = 148 kJ/mol of formula units
1.0
3.796 0.000 0.000
0.000 11.556 0.000
0.000 0.000 24.186
La Sm Ac
10 4 12
direct
0.500 0.834 0.004 La
0.500 0.166 0.996 La
0.500 0.334 0.496 La
0.500 0.084 0.248 La
0.500 0.916 0.752 La
0.500 0.000 0.500 La
0.500 0.500 0.000 La
0.500 0.584 0.252 La
0.500 0.416 0.748 La
0.500 0.666 0.504 La
0.000 0.666 0.731 Sm
0.000 0.334 0.269 Sm
0.000 0.166 0.769 Sm
0.000 0.834 0.231 Sm
0.000 0.857 0.616 Ac
0.000 0.643 0.116 Ac
0.500 0.166 0.635 Ac
0.000 0.021 0.112 Ac
0.000 0.143 0.384 Ac
0.000 0.521 0.388 Ac
0.500 0.834 0.365 Ac
0.500 0.334 0.135 Ac
0.000 0.357 0.884 Ac
0.000 0.979 0.888 Ac
0.000 0.479 0.612 Ac
0.500 0.666 0.865 Ac



Entry 4:
GaCu2Sn | Alexandria | PBE | relaxed; symmetry = R-3m; mass density = 7.63 g/cm3; V = 68.7 Å³/cell; energy of formation from the pure elements = 47 kJ/mol of formula units
1.0
-1.672 0.342 -2.674
-2.121 -2.205 -0.838
-6.854 3.240 2.819
Cu Ga Sn
2 1 1
direct
0.744 0.744 0.768 Cu
0.256 0.256 0.232 Cu
0.000 0.000 0.000 Ga
0.500 0.500 0.500 Sn



Entry 5:
Tb4Pr2Sb3H2 | Alexandria | PBE | relaxed; symmetry = I4/mmm; mass density = 7.68 g/cm3; V = 277.9 Å³/cell; electronic total energy = -55.59 eV for the cell shown
1.0
4.712 0.000 0.000
0.000 4.712 0.000
-2.356 -2.356 12.513
Sb Pr Tb H
3 2 4 2
direct
0.829 0.829 0.658 Sb
0.000 0.000 0.000 Sb
0.171 0.171 0.342 Sb
0.301 0.301 0.603 Pr
0.699 0.699 0.397 Pr
0.081 0.581 0.162 Tb
0.419 0.919 0.838 Tb
0.581 0.081 0.162 Tb
0.919 0.419 0.838 Tb
0.598 0.598 0.196 H
0.402 0.402 0.804 H



Entry 6:
AcGe2PbO8 | Alexandria | PBE | relaxed; E_form (uncorrected) = -1843.0 kJ/mol of formula units; symmetry = I-4m2; mass density = 6.50 g/cm3; V = 180.8 Å³/cell
1.0
6.189 0.031 0.000
-2.717 5.561 0.000
-1.736 -2.796 5.242
Ge Pb O Ac
2 1 8 1
direct
0.750 0.250 0.500 Ge
0.500 0.500 0.000 Ge
0.250 0.750 0.500 Pb
0.940 0.270 0.330 O
0.940 0.611 0.670 O
0.488 0.673 0.814 O
0.730 0.060 0.670 O
0.389 0.060 0.330 O
0.327 0.141 0.814 O
0.327 0.512 0.186 O
0.859 0.673 0.186 O
0.000 0.000 0.000 Ac



Entry 7:
CaTcAg3 | Alexandria | PBE | relaxed; symmetry = Pm-3m; mass density = 5.72 g/cm3; V = 134.0 Å³/cell; energy of formation from the pure elements = 377 kJ/mol of formula units
1.0
-3.143 -3.835 1.264
0.257 -1.789 -4.787
4.029 -2.877 1.292
Ag Tc Ca
3 1 1
direct
0.000 0.500 0.000 Ag
0.500 0.000 0.000 Ag
0.000 0.000 0.500 Ag
0.000 0.000 0.000 Tc
0.500 0.500 0.500 Ca



Entry 8:
Ag2MoCl | Alexandria | PBE | relaxed; E_form (uncorrected) = 207.4 kJ/mol of formula units; symmetry = Cmmm; mass density = 7.98 g/cm3; V = 72.3 Å³/cell
1.0
5.931 0.000 -0.001
-2.300 5.074 0.002
1.331 0.604 2.402
Cl Mo Ag
1 1 2
direct
0.000 0.500 0.500 Cl
0.500 0.500 0.000 Mo
0.500 0.000 0.500 Ag
0.000 0.000 0.000 Ag



Entry 9:
YPt2Au | Alexandria | PBE | relaxed; symmetry = Fm-3m; mass density = 14.80 g/cm3; V = 75.9 Å³/cell; energy of formation from the pure elements = -278 kJ/mol of formula units
1.0
4.069 -2.448 -0.172
0.543 -3.897 2.664
0.110 -4.284 -2.052
Pt Au Y
2 1 1
direct
0.250 0.250 0.250 Pt
0.750 0.750 0.750 Pt
0.500 0.500 0.500 Au
0.000 0.000 0.000 Y



Entry 10:
GaHgTe4Au2 | Alexandria | PBE | relaxed; E_form (uncorrected) = -127.3 kJ/mol of formula units; symmetry = I-42m; mass density = 7.54 g/cm3; V = 258.7 Å³/cell
1.0
-2.723 -5.713 -0.687
2.518 -0.499 -5.825
5.291 0.334 5.737
Au Ga Te Hg
2 1 4 1
direct
0.250 0.750 0.500 Au
0.750 0.250 0.500 Au
0.500 0.500 0.000 Ga
0.609 0.609 0.744 Te
0.134 0.134 0.744 Te
0.866 0.391 0.257 Te
0.391 0.866 0.257 Te
0.000 0.000 0.000 Hg



Entry 11:
LiOs2Br | Alexandria | PBE | relaxed; E_form (uncorrected) = 491.1 kJ/mol of formula units; symmetry = Fm-3m; mass density = 13.84 g/cm3; V = 56.1 Å³/cell
1.0
-0.350 1.787 3.892
-3.646 1.966 1.142
-2.563 -1.775 2.957
Os Br Li
2 1 1
direct
0.250 0.250 0.250 Os
0.750 0.750 0.750 Os
0.500 0.500 0.500 Br
0.000 0.000 0.000 Li



Entry 12:
Tm6ZnBi2 | Alexandria | PBE | relaxed; symmetry = P4_2/mnm; mass density = 7.94 g/cm3; V = 625.8 Å³/cell; energy of formation from the pure elements = 29 kJ/mol of formula units
1.0
6.800 0.000 0.000
0.000 6.800 0.000
0.000 0.000 13.533
Zn Bi Tm
2 4 12
direct
0.000 0.000 0.000 Zn
0.500 0.500 0.500 Zn
0.500 0.500 0.828 Bi
0.000 0.000 0.672 Bi
0.000 0.000 0.328 Bi
0.500 0.500 0.172 Bi
0.309 0.309 0.648 Tm
0.691 0.691 0.648 Tm
0.714 0.714 0.000 Tm
0.214 0.786 0.500 Tm
0.191 0.809 0.148 Tm
0.809 0.191 0.148 Tm
0.786 0.214 0.500 Tm
0.309 0.309 0.352 Tm
0.809 0.191 0.852 Tm
0.191 0.809 0.852 Tm
0.286 0.286 0.000 Tm
0.691 0.691 0.352 Tm



Number 1: size of the total moment 0.000 μB per cell. Number 2: size of the total moment 0.000 μB per cell. Number 3: size of the total moment 0.001 μB per cell. Number 4: size of the total moment 0.000 μB per cell. Number 5: size of the total moment 0.000 μB per cell. Number 6: size of the total moment 0.933 μB per cell. Number 7: size of the total moment 2.477 μB per cell. Number 8: size of the total moment 1.023 μB per cell. Number 9: size of the total moment 0.000 μB per cell. Number 10: size of the total moment 0.000 μB per cell. Number 11: size of the total moment 0.000 μB per cell. Number 12: size of the total moment 0.006 μB per cell.